No. 1
DFT (PBE) results for a relaxed structure of PuNb5.

## Properties
The value obtained for the energy of formation from the pure elements is 0.1872 eV per atom. The calculation puts the size of the total moment at 0.71 μB per atom.

a b c (Å): 7.530 5.756 8.193
angles (deg): 90.00 90.00 139.93
Element x y z (fractional)
1 Nb 0.750 0.844 0.573
2 Nb 0.750 0.338 0.577
3 Nb 0.250 0.156 0.427
4 Nb 0.250 0.662 0.077
5 Nb 0.250 0.156 0.073
6 Pu 0.250 0.029 0.750
7 Pu 0.750 0.971 0.250
8 Nb 0.750 0.338 0.923
9 Nb 0.250 0.662 0.423
10 Nb 0.250 0.536 0.750
11 Nb 0.750 0.844 0.927
12 Nb 0.750 0.464 0.250

***

No. 2
DFT (PBE) results for a relaxed structure of Pu5Nb.

## Properties
The value obtained for the energy of formation from the pure elements is 0.2711 eV per atom. The calculation puts the size of the total moment at 0.69 μB per atom.

a b c (Å): 3.141 5.159 8.346
angles (deg): 108.01 90.00 90.00
Element x y z (fractional)
1 Pu 0.000 0.662 0.324
2 Pu 0.500 0.500 0.000
3 Pu 0.500 0.169 0.338
4 Nb 0.000 0.000 0.000
5 Pu 0.500 0.831 0.662
6 Pu 0.000 0.338 0.676

***

No. 3
DFT (PBE) results for a relaxed structure of Pu6NbRh5.

## Properties
The value obtained for the energy of formation from the pure elements is -0.2558 eV per atom. The calculation puts the size of the total moment at 0.73 μB per atom.

a b c (Å): 4.924 6.890 8.213
angles (deg): 64.97 75.55 91.48
Element x y z (fractional)
1 Pu 0.865 0.099 0.340
2 Rh 0.612 0.131 0.700
3 Rh 0.606 0.681 0.673
4 Rh 0.388 0.869 0.300
5 Pu 0.849 0.582 0.359
6 Rh 0.394 0.319 0.327
7 Pu 0.151 0.418 0.641
8 Pu 0.486 0.726 0.022
9 Pu 0.135 0.901 0.660
10 Rh 0.000 0.500 0.000
11 Pu 0.514 0.274 0.978
12 Nb 0.000 0.000 0.000

***

No. 4
DFT (PBE) results for a relaxed structure of PuNb4Rh5.

## Properties
The value obtained for the energy of formation from the pure elements is -0.3814 eV per atom. The calculation puts the size of the total moment at 0.55 μB per atom.

a b c (Å): 2.909 2.909 19.613
angles (deg): 90.00 90.00 90.00
Element x y z (fractional)
1 Nb 0.000 0.000 0.207
2 Rh 0.500 0.500 0.304
3 Nb 0.000 0.000 0.402
4 Pu 0.000 0.000 0.000
5 Rh 0.500 0.500 0.888
6 Rh 0.500 0.500 0.500
7 Rh 0.500 0.500 0.696
8 Rh 0.500 0.500 0.112
9 Nb 0.000 0.000 0.598
10 Nb 0.000 0.000 0.793